An optimized crystal structure of Mg5Cd2HgPb2, computed with PBE.

Values from the calculation:
uncorrected energy	-1.806	eV/atom
ΔH_f (0 K)	-0.05	eV per atom
calculated volume	24.60	Å³/atom
crystal system	tetragonal

Cell lengths 11.8031, 11.8031, 3.5322 Å; angles 90.00, 90.00, 90.00 degrees
With the nearest neighbours (Å) after each atom.
Positions (direct):
Mg: 0.0000 0.5000 0.0000  4 Cd 2.94
Mg: 0.0214 0.1997 0.0000  2 Cd 2.94, 2 Hg 2.96, 2 Pb 3.26
Mg: 0.1997 0.9786 0.0000  2 Cd 2.94, 2 Hg 2.96, 2 Pb 3.26
Mg: 0.3003 0.4786 0.0000  2 Cd 2.94, 2 Hg 2.96, 2 Pb 3.26
Mg: 0.4786 0.6997 0.0000  2 Cd 2.94, 2 Hg 2.96, 2 Pb 3.26
Mg: 0.5000 0.0000 0.0000  4 Cd 2.94
Mg: 0.5214 0.3003 0.0000  2 Cd 2.94, 2 Hg 2.96, 2 Pb 3.26
Mg: 0.6997 0.5214 0.0000  2 Cd 2.94, 2 Hg 2.96, 2 Pb 3.26
Mg: 0.8003 0.0214 0.0000  2 Cd 2.94, 2 Hg 2.96, 2 Pb 3.26
Mg: 0.9786 0.8003 0.0000  2 Cd 2.94, 2 Hg 2.96, 2 Pb 3.26
Cd: 0.1410 0.3590 0.5000  6 Mg 2.94, 1 Pb 3.10
Cd: 0.3590 0.8590 0.5000  6 Mg 2.94, 1 Pb 3.10
Cd: 0.6410 0.1410 0.5000  6 Mg 2.94, 1 Pb 3.10
Cd: 0.8590 0.6410 0.5000  6 Mg 2.94, 1 Pb 3.10
Hg: 0.0000 0.0000 0.5000  8 Mg 2.96
Hg: 0.5000 0.5000 0.5000  8 Mg 2.96
Pb: 0.1732 0.6732 0.5000  1 Cd 3.10, 6 Mg 3.26-3.39
Pb: 0.3268 0.1732 0.5000  1 Cd 3.10, 6 Mg 3.26-3.39
Pb: 0.6732 0.8268 0.5000  1 Cd 3.10, 6 Mg 3.26-3.39
Pb: 0.8268 0.3268 0.5000  1 Cd 3.10, 6 Mg 3.26-3.39